18
Lattice="5.251 0.000 0.000 -2.626 4.548 0.000 0.000 0.000 9.193" Properties=species:S:1:pos:R:3 comment="PBE with a Hubbard U HfMnTcO6, optimized geometry" crystal_system=trigonal space_group=P-31c final_energy_ev_per_atom=-8.439 n_ef_per_ev_atom=0.389 pbc="T T T"
Hf 0.000 3.032 2.298
Hf 2.626 1.516 6.895
Mn 0.000 0.000 0.000
Mn 0.000 0.000 4.597
Tc 0.000 3.032 6.895
Tc 2.626 1.516 2.298
O -0.850 1.644 5.822
O -1.627 2.990 7.968
O 0.850 1.644 7.968
O -0.777 4.462 5.822
O 1.849 0.086 1.225
O 0.999 1.558 3.371
O 1.627 2.990 5.822
O 0.777 4.462 7.968
O 3.403 0.086 3.371
O 1.776 2.904 1.225
O 4.252 1.558 1.225
O 3.475 2.904 3.371